PBE-GGA ReAg2Se, optimized geometry; energy = -4.6952 eV per atom; space-group type = Immm (71); formation energy (no corrections) = 2.854 eV/f.u.; DOS(E_F) = 3.4 states/eV/f.u.; calculated volume = 17.20 A^3/atom
1.0
-1.4850 2.3018 5.0322
1.4850 -2.3018 5.0322
1.4850 2.3018 -5.0322
Re Ag Se
1 2 1
Direct
0.0000 0.0000 0.0000 Re
0.2509 0.7509 0.5000 Ag
0.7491 0.2491 0.5000 Ag
0.5000 0.5000 0.0000 Se